[1]
The following is a PBE calculation of crystalline Sc3Si2Ag4Ge2 at its relaxed geometry, from OQMD.

```
11
Lattice="2.785 6.018 4.598 -5.053 5.799 2.437 2.268 -7.743 -0.070" Properties=species:S:1:pos:R:3 pbc="T T T"
Ag 1.116 1.543 2.581
Ag -3.146 3.223 2.566
Ag 3.145 0.850 4.399
Ag -1.117 2.531 4.384
Ge 0.936 -0.320 0.839
Ge 4.116 -1.406 3.689
Sc -1.134 5.909 3.517
Sc 1.670 3.598 4.919
Sc -1.670 0.476 2.045
Si -0.644 3.353 1.996
Si -1.625 8.464 5.039
```

Results
Total energy: -4.970 eV per atom
Space group: Immm

[2]
The following is a PBE calculation of crystalline Sc2Ag2SnGe at its relaxed geometry, from OQMD.

```
24
Lattice="-3.278 10.359 2.249 -0.531 -1.115 4.362 11.014 -0.744 1.151" Properties=species:S:1:pos:R:3 pbc="T T T"
Ag -0.113 3.225 3.166
Ag 0.330 7.659 1.998
Ag 3.397 0.397 2.871
Ag 3.940 4.866 1.723
Ag 3.772 7.997 4.859
Ag 7.410 2.080 1.434
Ag 7.283 5.291 4.595
Ag 7.732 9.544 3.381
Ge -0.547 10.167 2.532
Ge 3.065 7.406 2.266
Ge 6.631 4.642 1.994
Ge 6.497 7.839 5.151
Sc 0.678 0.552 2.580
Sc 1.171 5.054 1.434
Sc 1.033 8.225 4.584
Sc 4.643 2.209 1.130
Sc 4.603 5.481 4.317
Sc 4.988 9.743 3.098
Sc 8.097 2.730 4.039
Sc 8.537 7.017 2.833
Sn -0.930 5.842 3.736
Sn 2.651 3.052 3.459
Sn 6.196 0.267 3.178
Sn 10.187 1.828 1.707
```

Results
Total energy: -4.878 eV per atom
Space group: Pm

[3]
The following is a PBE calculation of crystalline YScAg2Ge2 at its relaxed geometry, from OQMD.

```
6
Lattice="-2.869 -0.873 3.284 0.355 -2.792 -3.444 5.046 -3.613 3.449" Properties=species:S:1:pos:R:3 pbc="T T T"
Ag -0.396 -2.514 1.997
Ag 3.357 -5.071 1.585
Ge 0.277 -2.866 -0.520
Ge 1.811 -4.094 3.505
Sc 0.009 -0.006 0.006
Y 2.536 -1.815 1.733
```

Results
Total energy: -5.175 eV per atom
Energy relative to the lowest polymorph listed for this composition: 0 meV/atom
Space group: P3m1

[4]
The following is a PBE calculation of crystalline YScAg2Ge2 at its relaxed geometry, from OQMD.

```
24
Lattice="-6.951 3.961 4.267 -2.715 -3.397 -1.269 6.416 -8.340 8.602" Properties=species:S:1:pos:R:3 pbc="T T T"
Ag -6.945 3.955 4.271
Ag -2.338 -2.354 3.219
Ag -5.801 -0.385 5.356
Ag 1.409 -3.128 5.360
Ag -1.959 -1.213 7.437
Ag -0.852 -5.469 8.379
Ag 2.517 -7.431 6.422
Ag 2.911 -6.308 10.658
Ge -4.467 -0.516 2.853
Ge -0.972 -2.527 0.761
Ge -0.632 -1.405 5.114
Ge -4.097 0.563 7.259
Ge 0.448 -5.633 6.036
Ge -2.975 -3.692 8.163
Ge 0.840 -4.553 10.390
Ge 4.290 -6.540 8.331
Sc -0.249 -4.096 3.413
Sc -3.718 -2.124 5.557
Sc 0.101 -2.979 7.758
Sc 1.189 -7.246 8.768
Y -1.381 0.193 2.439
Y -4.820 2.148 4.561
Y 3.571 -4.949 5.610
Y -2.259 -5.263 10.838
```

Results
Total energy: -5.016 eV per atom
Energy relative to the lowest polymorph listed for this composition: 160 meV/atom
Space group: Pm

[5]
The following is a PBE calculation of crystalline Ag8GeSe6 at its relaxed geometry, from OQMD.

```
30
Lattice="8.029 0.000 0.000 0.000 7.833 0.000 0.000 0.000 11.061" Properties=species:S:1:pos:R:3 pbc="T T T"
Ag 0.000 4.871 0.481
Ag 1.586 1.184 1.747
Ag 6.443 1.184 1.747
Ag 1.593 4.194 2.967
Ag 6.436 4.194 2.967
Ag 2.357 7.009 4.023
Ag 5.672 7.009 4.023
Ag 0.000 5.670 5.318
Ag 4.014 2.962 6.011
Ag 2.428 6.649 7.277
Ag 5.601 6.649 7.277
Ag 2.422 3.638 8.497
Ag 5.607 3.638 8.497
Ag 1.657 0.824 9.554
Ag 6.371 0.824 9.554
Ag 4.014 2.163 10.848
Ge 4.014 5.885 0.201
Ge 0.000 1.948 5.732
Se 4.014 7.808 1.649
Se 4.014 3.998 1.653
Se 0.000 6.362 2.737
Se 1.998 1.953 4.406
Se 6.030 1.953 4.406
Se 4.014 5.590 5.522
Se 0.000 0.025 7.180
Se 0.000 3.835 7.184
Se 4.014 1.471 8.267
Se 2.016 5.880 9.937
Se 6.013 5.880 9.937
Se 0.000 2.243 11.053
```

Results
Total energy: -3.367 eV per atom
Space group: Pmn2_1

[6]
The following is a PBE calculation of crystalline SmAgGeSe3 at its relaxed geometry, from OQMD.

```
12
Lattice="6.688 -2.018 0.000 6.688 2.018 0.000 0.000 0.000 10.922" Properties=species:S:1:pos:R:3 pbc="T T T"
Ag 6.409 0.000 2.730
Ag 6.967 0.000 8.191
Ge 10.334 0.000 2.730
Ge 3.042 0.000 8.191
Se 4.686 0.000 0.760
Se 1.470 0.000 2.730
Se 4.686 0.000 4.701
Se 8.690 0.000 6.221
Se 11.906 0.000 8.191
Se 8.690 0.000 10.162
Sm 0.000 0.000 0.000
Sm 0.000 0.000 5.461
```

Results
Total energy: -4.531 eV per atom
Space group: Cmcm

[7]
The following is a PBE calculation of crystalline TbAgGeSe3 at its relaxed geometry, from OQMD.

```
12
Lattice="4.004 0.000 0.000 2.002 6.660 0.000 0.000 0.000 10.781" Properties=species:S:1:pos:R:3 pbc="T T T"
Ag 4.004 6.366 2.695
Ag 2.002 0.294 8.086
Ge 2.002 3.595 2.695
Ge 4.004 3.065 8.086
Se 4.004 4.688 0.702
Se 4.004 1.466 2.695
Se 4.004 4.688 4.689
Se 2.002 1.972 6.093
Se 2.002 5.194 8.086
Se 2.002 1.972 10.079
Tb 0.000 0.000 0.000
Tb 0.000 0.000 5.391
```

Results
Total energy: -4.515 eV per atom
Space group: Cmcm

[8]
The following is a PBE calculation of crystalline TmAgGeTeSe2 at its relaxed geometry, from OQMD.

```
12
Lattice="-4.280 -0.192 -5.609 0.918 -1.660 6.798 -4.355 9.823 2.987" Properties=species:S:1:pos:R:3 pbc="T T T"
Ag -5.249 2.231 -4.578
Ag -2.468 5.741 8.754
Ge -1.693 1.226 3.912
Ge -6.024 6.746 0.265
Se -3.828 0.223 -3.685
Se -5.455 3.894 -2.568
Se -2.262 4.077 6.745
Se -3.889 7.748 7.861
Te -3.404 1.709 -0.172
Te -4.313 6.262 4.348
Tm -1.681 -0.926 0.595
Tm -3.858 3.986 2.088
```

Results
Total energy: -4.346 eV per atom
Space group: Cmcm

Question: Look up the total energy of the second one.
Answer: -4.878 eV per atom